(1)
VASP calculation (PBE) on a geometry-optimized AlPPb structure.

The structure belongs to space group Cmcm (No. 63); the cell edges are 3.484, 11.395 and 6.879 Å and the angles 90.00°, 90.00° and 90.00°. The distinct sites, in fractional coordinates, are Al at (0.000, 0.000, 0.000), P at (0.000, 0.475, 0.250) and Pb at (0.000, 0.264, 0.750).

As for the formation energy: -0.01 eV/atom. For the spin magnetization, the calculation gives 0.00 μB/cell. As for the crystal system: orthorhombic. The calculation puts the distance to the lowest polymorph of the same formula at 0.0735 eV/atom. The calculation puts the total energy at -4.297 eV/atom.

(2)
VASP calculation (PBE) on a geometry-optimized Be2CoAgMo structure.

The structure belongs to space group P4/mmm (No. 123); the cell edges are 4.107, 4.107 and 4.976 Å and the angles 90.00°, 90.00° and 90.00°. The distinct sites, in fractional coordinates, are Be at (0.000, 0.500, 0.000), Co at (0.000, 0.000, 0.500), Ag at (0.500, 0.500, 0.000) and Mo at (0.500, 0.500, 0.500).

As for the formation energy: 1.58 eV/atom. For the spin magnetization, the calculation gives 2.12 μB/cell. As for the crystal system: tetragonal. The calculation puts the total energy at -4.065 eV/atom.

(3)
VASP calculation (PBE) on a geometry-optimized LaFeHg2W structure.

The structure belongs to space group P4/mmm (No. 123); the cell edges are 5.034, 5.034 and 4.530 Å and the angles 90.00°, 90.00° and 90.00°. The distinct sites, in fractional coordinates, are La at (0.000, 0.000, 0.000), Fe at (0.500, 0.500, 0.500), Hg at (0.000, 0.500, 0.500) and W at (0.500, 0.500, 0.000).

As for the formation energy: 0.52 eV/atom. For the spin magnetization, the calculation gives 1.16 μB/cell. As for the crystal system: tetragonal. The calculation puts the total energy at -4.870 eV/atom.

(4)
VASP calculation (PBE) on a geometry-optimized LiTaPd2Rh structure.

The structure belongs to space group P4/mmm (No. 123); the cell edges are 4.044, 4.044 and 4.587 Å and the angles 90.00°, 90.00° and 90.00°. The distinct sites, in fractional coordinates, are Li at (0.000, 0.000, 0.000), Ta at (0.000, 0.000, 0.500), Pd at (0.000, 0.500, 0.000) and Rh at (0.500, 0.500, 0.500).

As for the formation energy: 0.50 eV/atom. For the spin magnetization, the calculation gives 0.77 μB/cell. As for the crystal system: tetragonal. The calculation puts the total energy at -5.803 eV/atom.